Entry 1:
Here is a relaxed Ho4Ga5Ge2 crystal from Alexandria. Energies are from PBE-GGA.

a = 6.992 Å, b = 4.239 Å, c = 7.972 Å
α = 90.00°, β = 91.48°, γ = 90.00°
Element x y z (fractional)
Ho1 0.222 0.000 0.367
Ho2 0.243 0.000 0.894
Ho3 0.757 0.000 0.106
Ho4 0.778 0.000 0.633
Ga1 0.132 0.500 0.620
Ga2 0.458 0.500 0.162
Ga3 0.500 0.500 0.500
Ga4 0.542 0.500 0.838
Ga5 0.868 0.500 0.380
Ge1 0.089 0.500 0.135
Ge2 0.911 0.500 0.865

Summary:
The space group is No. 10. The calculation puts the energy at -49.5 eV/f.u. The calculation puts the magnetization at 0.00 μB/f.u. Its energy of formation from the pure elements is -619.7 meV per atom.

---

Entry 2:
Here is a relaxed Ho3Ga4Ge2 crystal from Alexandria. Energies are from PBE-GGA.

a = 5.874 Å, b = 5.874 Å, c = 8.314 Å
α = 100.09°, β = 100.09°, γ = 41.60°
Element x y z (fractional)
Ho1 0.000 0.000 0.000
Ho2 0.332 0.332 0.333
Ho3 0.668 0.668 0.667
Ga1 0.026 0.026 0.362
Ga2 0.300 0.300 0.970
Ga3 0.700 0.700 0.030
Ga4 0.974 0.974 0.638
Ge1 0.366 0.366 0.699
Ge2 0.634 0.634 0.301

Summary:
The space group is No. 12. The calculation puts the energy at -40.7 eV/f.u. The calculation puts the magnetization at 0.00 μB/f.u. Its energy of formation from the pure elements is -623.2 meV per atom.

---

Entry 3:
Here is a relaxed HoGaGe4 crystal from Alexandria. Energies are from PBE-GGA.

a = 5.553 Å, b = 5.553 Å, c = 5.553 Å
α = 60.00°, β = 60.00°, γ = 60.00°
Element x y z (fractional)
Ho1 0.000 0.000 0.000
Ga1 0.250 0.250 0.250
Ge1 0.126 0.625 0.625
Ge2 0.625 0.126 0.625
Ge3 0.625 0.625 0.126
Ge4 0.625 0.625 0.625

Summary:
The space group is No. 216. The calculation puts the energy at -26.9 eV/f.u. The calculation puts the magnetization at 0.00 μB/f.u. Its energy of formation from the pure elements is -133.5 meV per atom.

---

Entry 4:
Here is a relaxed Ho2GaGe2 crystal from Alexandria. Energies are from PBE-GGA.

a = 5.653 Å, b = 5.653 Å, c = 5.653 Å
α = 138.09°, β = 112.86°, γ = 82.37°
Element x y z (fractional)
Ho1 0.219 0.219 0.000
Ho2 0.781 0.781 0.000
Ga1 0.500 0.000 0.500
Ge1 0.208 0.500 0.708
Ge2 0.792 0.500 0.292

Summary:
The space group is No. 71. The calculation puts the energy at -25.0 eV/f.u. The calculation puts the magnetization at 0.00 μB/f.u. Its energy of formation from the pure elements is -719.9 meV per atom.

---

no.,volume (Å³/atom)
1,21.47
2,20.79
3,20.18
4,21.51